[1]
Computed, not measured: an optimized crystal structure of PrBePO at the GGA-PBE level of DFT.

Values from the calculation:
ΔE to the lowest computed polymorph = 0.0 kJ/mol of atoms
magnetic moment = 0.0 μB per cell

POSCAR file:
```
PrBePO
1.0
1.930 1.114 10.184
-1.930 1.114 10.184
0.000 -2.228 10.184
Pr Be P O
2 2 2 2
direct
0.115 0.115 0.115 Pr
0.885 0.885 0.885 Pr
0.307 0.307 0.307 Be
0.693 0.693 0.693 Be
0.379 0.379 0.379 P
0.621 0.621 0.621 P
0.196 0.196 0.196 O
0.804 0.804 0.804 O
```



[2]
Computed, not measured: an optimized crystal structure of Li4GaPtO6 at the GGA-PBE level of DFT.

Values from the calculation:
calculated total energy = -5.439 eV/atom
magnetic moment = 0.9 μB per cell

POSCAR file:
```
Li4GaPtO6
1.0
2.560 -4.430 0.000
2.560 4.430 0.000
-1.734 0.000 4.775
Li Ga Pt O
4 1 1 6
direct
0.000 0.000 0.000 Li
0.342 0.658 0.000 Li
0.680 0.320 0.000 Li
0.840 0.160 0.500 Li
0.174 0.826 0.500 Ga
0.507 0.493 0.500 Pt
0.110 0.429 0.264 O
0.268 0.238 0.733 O
0.413 0.080 0.266 O
0.571 0.890 0.736 O
0.762 0.732 0.267 O
0.920 0.587 0.734 O
```



[3]
Computed, not measured: an optimized crystal structure of RbHfMo at the GGA-PBE level of DFT.

Values from the calculation:
ΔE to the lowest computed polymorph = 74.4 kJ/mol of atoms
magnetic moment = 2.7 μB per cell

POSCAR file:
```
RbHfMo
1.0
0.000 3.453 3.453
3.453 0.000 3.453
3.453 3.453 0.000
Rb Hf Mo
1 1 1
direct
0.000 0.000 0.000 Rb
0.750 0.750 0.750 Hf
0.250 0.250 0.250 Mo
```



[4]
Computed, not measured: an optimized crystal structure of AgIrO3 at the GGA-PBE level of DFT.

Values from the calculation:
calculated total energy = -5.633 eV/atom
magnetic moment = 0.1 μB per cell

POSCAR file:
```
AgIrO3
1.0
5.347 0.000 0.000
0.000 7.657 0.000
0.000 0.000 5.488
Ag Ir O
4 4 12
direct
0.040 0.250 0.005 Ag
0.460 0.750 0.505 Ag
0.540 0.250 0.495 Ag
0.960 0.750 0.995 Ag
0.000 0.000 0.500 Ir
0.000 0.500 0.500 Ir
0.500 0.000 0.000 Ir
0.500 0.500 0.000 Ir
0.014 0.750 0.398 O
0.198 0.552 0.800 O
0.198 0.948 0.800 O
0.302 0.052 0.300 O
0.302 0.448 0.300 O
0.486 0.250 0.898 O
0.514 0.750 0.102 O
0.698 0.552 0.700 O
0.698 0.948 0.700 O
0.802 0.052 0.200 O
0.802 0.448 0.200 O
0.986 0.250 0.602 O
```



[5]
Computed, not measured: an optimized crystal structure of K2Dy4Au4S9 at the GGA-PBE level of DFT.

Values from the calculation:
calculated total energy = -5.003 eV/atom
magnetic moment = 0.0 μB per cell

POSCAR file:
```
K2Dy4Au4S9
1.0
7.067 -2.037 0.000
7.067 2.037 0.000
-4.908 0.000 15.691
K Dy Au S
2 4 4 9
direct
0.048 0.048 0.279 K
0.952 0.952 0.721 K
0.250 0.250 0.117 Dy
0.350 0.350 0.443 Dy
0.650 0.650 0.557 Dy
0.750 0.750 0.883 Dy
0.235 0.235 0.724 Au
0.455 0.455 0.086 Au
0.545 0.545 0.914 Au
0.765 0.765 0.276 Au
0.000 0.000 0.500 S
0.148 0.148 0.940 S
0.288 0.288 0.591 S
0.367 0.367 0.864 S
0.376 0.376 0.284 S
0.624 0.624 0.716 S
0.633 0.633 0.136 S
0.712 0.712 0.409 S
0.852 0.852 0.060 S
```



[6]
Computed, not measured: an optimized crystal structure of Ga2Sn3Hg2 at the GGA-PBE level of DFT.

Values from the calculation:
calculated total energy = -2.559 eV/atom

POSCAR file:
```
Ga2Sn3Hg2
1.0
2.590 1.495 7.997
-2.590 1.495 7.997
0.000 -2.991 7.997
Ga Sn Hg
2 3 2
direct
0.000 0.000 0.000 Ga
0.492 0.492 0.492 Ga
0.366 0.366 0.366 Sn
0.623 0.623 0.623 Sn
0.875 0.875 0.875 Sn
0.228 0.228 0.228 Hg
0.753 0.753 0.753 Hg
```